First-principles (PBE with a Hubbard U) data for a relaxed CaCrGe2O6 crystal, as listed in the Alexandria database.

It has space group C2/c (No. 15), with a = 10.369 Å, b = 9.504 Å, c = 5.449 Å, α = 90.00°, β = 104.93° and γ = 90.00°. The inequivalent atoms are Ca at (0.000, 0.200, 0.250), Cr at (0.000, 0.405, 0.750), Ge at (0.214, 0.096, 0.788), O at (0.110, 0.405, 0.127), O at (0.133, 0.247, 0.653) and O at (0.147, 0.041, 0.051).

Its total energy is -273.6 eV/cell. The calculation puts the calculated density at 4.27 g cm⁻³. Its crystal system is monoclinic.